(1)
Entry from Alexandria via LeMat-Bulk: a geometry-optimized ZrTl2Hg structure (GGA-PBE).

Computed properties:
formation energy	100	meV per atom
V	104	Å³ per cell
relative energy among the computed polymorphs	0.0851	eV per atom

Structure (CIF):
```
data_ZrTl2Hg
_chemical_formula_sum 'Zr1 Tl2 Hg1'
_symmetry_space_group_name_H-M 'P 1'
_symmetry_Int_Tables_number 1
_symmetry_space_group_name_Hall 'P 1'
_cell_length_a 3.324
_cell_length_b 3.324
_cell_length_c 10.617
_cell_angle_alpha 90.00
_cell_angle_beta 90.00
_cell_angle_gamma 117.36
loop_
_atom_site_label
_atom_site_fract_x
_atom_site_fract_y
_atom_site_fract_z
_atom_site_occupancy
Hg1 0.500 0.500 0.733 1
Zr1 0.000 0.000 0.506 1
Tl1 0.500 0.500 0.265 1
Tl2 0.000 0.000 0.996 1
```

---

(2)
Entry from Alexandria via LeMat-Bulk: a geometry-optimized ZrTl2Hg structure (GGA-PBE).

Computed properties:
formation energy	73	meV per atom
V	100	Å³ per cell
relative energy among the computed polymorphs	0.0576	eV per atom

Structure (CIF):
```
data_ZrTl2Hg
_chemical_formula_sum 'Zr1 Tl2 Hg1'
_symmetry_space_group_name_H-M 'P 1'
_symmetry_Int_Tables_number 1
_symmetry_space_group_name_Hall 'P 1'
_cell_length_a 6.382
_cell_length_b 6.382
_cell_length_c 6.382
_cell_angle_alpha 149.19
_cell_angle_beta 130.54
_cell_angle_gamma 59.41
loop_
_atom_site_label
_atom_site_fract_x
_atom_site_fract_y
_atom_site_fract_z
_atom_site_occupancy
Zr1 0.492 0.492 0.000 1
Tl1 0.734 0.234 0.500 1
Tl2 0.007 0.007 0.000 1
Hg1 0.267 0.767 0.500 1
```

---

(3)
Entry from Alexandria via LeMat-Bulk: a geometry-optimized Zr6TlHg3 structure (GGA-PBE).

Computed properties:
formation energy	62	meV per atom
V	479	Å³ per cell

Structure (CIF):
```
data_Zr6TlHg3
_chemical_formula_sum 'Zr12 Tl2 Hg6'
_symmetry_space_group_name_H-M 'P 1'
_symmetry_Int_Tables_number 1
_symmetry_space_group_name_Hall 'P 1'
_cell_length_a 7.271
_cell_length_b 8.665
_cell_length_c 8.665
_cell_angle_alpha 118.77
_cell_angle_beta 90.00
_cell_angle_gamma 90.00
loop_
_atom_site_label
_atom_site_fract_x
_atom_site_fract_y
_atom_site_fract_z
_atom_site_occupancy
Hg1 0.484 0.299 0.102 1
Hg2 0.984 0.701 0.898 1
Hg3 0.231 0.418 0.582 1
Hg4 0.984 0.102 0.299 1
Hg5 0.484 0.898 0.701 1
Hg6 0.731 0.582 0.418 1
Zr1 0.817 0.427 0.980 1
Zr2 0.096 0.382 0.231 1
Zr3 0.013 0.738 0.262 1
Zr4 0.317 0.573 0.020 1
Zr5 0.317 0.980 0.427 1
Zr6 0.096 0.769 0.618 1
Zr7 0.817 0.020 0.573 1
Zr8 0.810 0.044 0.956 1
Zr9 0.513 0.262 0.738 1
Zr10 0.310 0.956 0.044 1
Zr11 0.596 0.231 0.382 1
Zr12 0.596 0.618 0.769 1
Tl1 0.637 0.821 0.179 1
Tl2 0.137 0.179 0.821 1
```

---

(4)
Entry from Alexandria via LeMat-Bulk: a geometry-optimized Zr2TlHg structure (GGA-PBE).

Computed properties:
formation energy	-29	meV per atom
V	92	Å³ per cell

Structure (CIF):
```
data_Zr2TlHg
_chemical_formula_sum 'Zr2 Tl1 Hg1'
_symmetry_space_group_name_H-M 'P 1'
_symmetry_Int_Tables_number 1
_symmetry_space_group_name_Hall 'P 1'
_cell_length_a 5.467
_cell_length_b 5.467
_cell_length_c 5.547
_cell_angle_alpha 78.82
_cell_angle_beta 78.82
_cell_angle_gamma 34.60
loop_
_atom_site_label
_atom_site_fract_x
_atom_site_fract_y
_atom_site_fract_z
_atom_site_occupancy
Zr1 0.499 0.499 0.507 1
Zr2 0.001 0.001 0.993 1
Hg1 0.750 0.750 0.750 1
Tl1 0.250 0.250 0.250 1
```

---

(5)
Entry from Alexandria via LeMat-Bulk: a geometry-optimized Zr5TlHg2 structure (GGA-PBE).

Computed properties:
formation energy	-41	meV per atom
V	367	Å³ per cell
relative energy among the computed polymorphs	0.0433	eV per atom

Structure (CIF):
```
data_Zr5TlHg2
_chemical_formula_sum 'Zr10 Tl2 Hg4'
_symmetry_space_group_name_H-M 'P 1'
_symmetry_Int_Tables_number 1
_symmetry_space_group_name_Hall 'P 1'
_cell_length_a 7.508
_cell_length_b 7.508
_cell_length_c 8.404
_cell_angle_alpha 116.53
_cell_angle_beta 116.53
_cell_angle_gamma 90.00
loop_
_atom_site_label
_atom_site_fract_x
_atom_site_fract_y
_atom_site_fract_z
_atom_site_occupancy
Zr1 0.007 0.507 0.319 1
Zr2 0.493 0.687 0.681 1
Zr3 0.507 0.313 0.319 1
Zr4 0.000 0.000 0.000 1
Zr5 0.313 0.813 0.319 1
Zr6 0.187 0.993 0.681 1
Zr7 0.993 0.493 0.681 1
Zr8 0.813 0.007 0.319 1
Zr9 0.687 0.187 0.681 1
Zr10 0.500 0.500 0.000 1
Tl1 0.750 0.750 0.500 1
Tl2 0.250 0.250 0.500 1
Hg1 0.360 0.860 0.000 1
Hg2 0.140 0.360 0.000 1
Hg3 0.640 0.140 0.000 1
Hg4 0.860 0.640 0.000 1
```

---

(6)
Entry from Alexandria via LeMat-Bulk: a geometry-optimized Zr2TlHg structure (GGA-PBE).

Computed properties:
formation energy	368	meV per atom
V	95	Å³ per cell

Structure (CIF):
```
data_Zr2TlHg
_chemical_formula_sum 'Zr2 Tl1 Hg1'
_symmetry_space_group_name_H-M 'P 1'
_symmetry_Int_Tables_number 1
_symmetry_space_group_name_Hall 'P 1'
_cell_length_a 5.125
_cell_length_b 5.125
_cell_length_c 5.125
_cell_angle_alpha 60.00
_cell_angle_beta 60.00
_cell_angle_gamma 60.00
loop_
_atom_site_label
_atom_site_fract_x
_atom_site_fract_y
_atom_site_fract_z
_atom_site_occupancy
Tl1 0.750 0.750 0.750 1
Zr1 0.000 0.000 0.000 1
Zr2 0.250 0.250 0.250 1
Hg1 0.500 0.500 0.500 1
```

---

(7)
Entry from Alexandria via LeMat-Bulk: a geometry-optimized Zr5TlHg2 structure (GGA-PBE).

Computed properties:
formation energy	-84	meV per atom
V	178	Å³ per cell
relative energy among the computed polymorphs	0.0000	eV per atom

Structure (CIF):
```
data_Zr5TlHg2
_chemical_formula_sum 'Zr5 Tl1 Hg2'
_symmetry_space_group_name_H-M 'P 1'
_symmetry_Int_Tables_number 1
_symmetry_space_group_name_Hall 'P 1'
_cell_length_a 5.050
_cell_length_b 5.050
_cell_length_c 7.835
_cell_angle_alpha 108.80
_cell_angle_beta 108.80
_cell_angle_gamma 90.00
loop_
_atom_site_label
_atom_site_fract_x
_atom_site_fract_y
_atom_site_fract_z
_atom_site_occupancy
Zr1 0.875 0.375 0.750 1
Zr2 0.375 0.875 0.750 1
Zr3 0.625 0.125 0.250 1
Zr4 0.500 0.500 0.000 1
Zr5 0.125 0.625 0.250 1
Tl1 0.000 0.000 0.000 1
Hg1 0.746 0.746 0.492 1
Hg2 0.254 0.254 0.508 1
```

---

(8)
Entry from Alexandria via LeMat-Bulk: a geometry-optimized Zr3TlHg structure (GGA-PBE).

Computed properties:
formation energy	825	meV per atom
V	147	Å³ per cell
relative energy among the computed polymorphs	0.8994	eV per atom

Structure (CIF):
```
data_Zr3TlHg
_chemical_formula_sum 'Zr3 Tl1 Hg1'
_symmetry_space_group_name_H-M 'P 1'
_symmetry_Int_Tables_number 1
_symmetry_space_group_name_Hall 'P 1'
_cell_length_a 5.276
_cell_length_b 5.276
_cell_length_c 5.276
_cell_angle_alpha 90.00
_cell_angle_beta 90.00
_cell_angle_gamma 90.00
loop_
_atom_site_label
_atom_site_fract_x
_atom_site_fract_y
_atom_site_fract_z
_atom_site_occupancy
Zr1 0.000 0.500 0.000 1
Zr2 0.000 0.000 0.500 1
Zr3 0.500 0.000 0.000 1
Tl1 0.500 0.500 0.500 1
Hg1 0.000 0.000 0.000 1
```

---

(9)
Entry from Alexandria via LeMat-Bulk: a geometry-optimized Zr2TlHg structure (GGA-PBE).

Computed properties:
formation energy	9	meV per atom
V	97	Å³ per cell

Structure (CIF):
```
data_Zr2TlHg
_chemical_formula_sum 'Zr2 Tl1 Hg1'
_symmetry_space_group_name_H-M 'P 1'
_symmetry_Int_Tables_number 1
_symmetry_space_group_name_Hall 'P 1'
_cell_length_a 10.140
_cell_length_b 10.140
_cell_length_c 10.140
_cell_angle_alpha 19.08
_cell_angle_beta 19.08
_cell_angle_gamma 19.08
loop_
_atom_site_label
_atom_site_fract_x
_atom_site_fract_y
_atom_site_fract_z
_atom_site_occupancy
Zr1 0.996 0.996 0.996 1
Zr2 0.250 0.250 0.250 1
Tl1 0.750 0.750 0.750 1
Hg1 0.503 0.503 0.503 1
```

---

(10)
Entry from Alexandria via LeMat-Bulk: a geometry-optimized ZrTl2Hg structure (GGA-PBE).

Computed properties:
formation energy	76	meV per atom
V	99	Å³ per cell
relative energy among the computed polymorphs	0.0603	eV per atom

Structure (CIF):
```
data_ZrTl2Hg
_chemical_formula_sum 'Zr1 Tl2 Hg1'
_symmetry_space_group_name_H-M 'P 1'
_symmetry_Int_Tables_number 1
_symmetry_space_group_name_Hall 'P 1'
_cell_length_a 5.432
_cell_length_b 5.432
_cell_length_c 3.361
_cell_angle_alpha 90.00
_cell_angle_beta 90.00
_cell_angle_gamma 90.00
loop_
_atom_site_label
_atom_site_fract_x
_atom_site_fract_y
_atom_site_fract_z
_atom_site_occupancy
Tl1 0.500 0.500 0.000 1
Tl2 0.000 0.000 0.000 1
Hg1 0.000 0.500 0.500 1
Zr1 0.500 0.000 0.500 1
```

---

(11)
Entry from Alexandria via LeMat-Bulk: a geometry-optimized Zr2TlHg structure (GGA-PBE).

Computed properties:
formation energy	-55	meV per atom
V	91	Å³ per cell

Structure (CIF):
```
data_Zr2TlHg
_chemical_formula_sum 'Zr2 Tl1 Hg1'
_symmetry_space_group_name_H-M 'P 1'
_symmetry_Int_Tables_number 1
_symmetry_space_group_name_Hall 'P 1'
_cell_length_a 5.786
_cell_length_b 5.786
_cell_length_c 5.786
_cell_angle_alpha 136.52
_cell_angle_beta 136.52
_cell_angle_gamma 63.17
loop_
_atom_site_label
_atom_site_fract_x
_atom_site_fract_y
_atom_site_fract_z
_atom_site_occupancy
Hg1 0.500 0.500 0.000 1
Zr1 0.250 0.750 0.500 1
Zr2 0.000 0.000 0.000 1
Tl1 0.750 0.250 0.500 1
```

---

(12)
Entry from Alexandria via LeMat-Bulk: a geometry-optimized ZrTlHg structure (GGA-PBE).

Computed properties:
formation energy	276	meV per atom
V	81	Å³ per cell
relative energy among the computed polymorphs	0.2464	eV per atom

Structure (CIF):
```
data_ZrTlHg
_chemical_formula_sum 'Zr1 Tl1 Hg1'
_symmetry_space_group_name_H-M 'P 1'
_symmetry_Int_Tables_number 1
_symmetry_space_group_name_Hall 'P 1'
_cell_length_a 4.862
_cell_length_b 4.862
_cell_length_c 4.862
_cell_angle_alpha 60.00
_cell_angle_beta 60.00
_cell_angle_gamma 60.00
loop_
_atom_site_label
_atom_site_fract_x
_atom_site_fract_y
_atom_site_fract_z
_atom_site_occupancy
Tl1 0.500 0.500 0.500 1
Hg1 0.000 0.000 0.000 1
Zr1 0.750 0.750 0.750 1
```

---

(13)
Entry from Alexandria via LeMat-Bulk: a geometry-optimized ZrTl2Hg structure (GGA-PBE).

Computed properties:
formation energy	116	meV per atom
V	101	Å³ per cell
relative energy among the computed polymorphs	0.1004	eV per atom

Structure (CIF):
```
data_ZrTl2Hg
_chemical_formula_sum 'Zr1 Tl2 Hg1'
_symmetry_space_group_name_H-M 'P 1'
_symmetry_Int_Tables_number 1
_symmetry_space_group_name_Hall 'P 1'
_cell_length_a 10.510
_cell_length_b 10.510
_cell_length_c 10.510
_cell_angle_alpha 18.43
_cell_angle_beta 18.43
_cell_angle_gamma 18.43
loop_
_atom_site_label
_atom_site_fract_x
_atom_site_fract_y
_atom_site_fract_z
_atom_site_occupancy
Zr1 0.250 0.250 0.250 1
Tl1 0.502 0.502 0.502 1
Tl2 0.998 0.998 0.998 1
Hg1 0.750 0.750 0.750 1
```

---

(14)
Entry from Alexandria via LeMat-Bulk: a geometry-optimized Zr2TlHg structure (GGA-PBE).

Computed properties:
formation energy	-23	meV per atom
V	95	Å³ per cell

Structure (CIF):
```
data_Zr2TlHg
_chemical_formula_sum 'Zr2 Tl1 Hg1'
_symmetry_space_group_name_H-M 'P 1'
_symmetry_Int_Tables_number 1
_symmetry_space_group_name_Hall 'P 1'
_cell_length_a 3.183
_cell_length_b 3.183
_cell_length_c 9.344
_cell_angle_alpha 90.00
_cell_angle_beta 90.00
_cell_angle_gamma 90.00
loop_
_atom_site_label
_atom_site_fract_x
_atom_site_fract_y
_atom_site_fract_z
_atom_site_occupancy
Zr1 0.500 0.500 0.250 1
Zr2 0.000 0.000 0.013 1
Tl1 0.500 0.500 0.748 1
Hg1 0.000 0.000 0.489 1
```